DFT (PBE) results for an optimized crystal structure of NpCr2GeS6.

E_form (uncorrected), eV per atom: -0.701
Spin magnetization, Bohr magnetons per cell: 9.0
Space-group type: R3

a b c (Å): 6.390 6.390 6.740
angles (deg): 61.70 61.70 60.00
Site moments in Bohr magnetons follow the coordinates.
Fractional positions:
S 0.881 0.635 0.241  -0.13
S 0.635 0.243 0.241  -0.13
S 0.736 0.144 0.750  -0.11
S 0.243 0.881 0.241  -0.13
S 0.144 0.370 0.750  -0.11
S 0.370 0.736 0.750  -0.11
Np 0.812 0.812 0.562  3.43
Cr 0.009 0.009 0.972  2.91
Cr 0.513 0.513 0.461  2.93
Ge 0.317 0.317 0.048  -0.02

DFT (PBE) results for an optimized crystal structure of NpCrTcGe.

Spin magnetization, Bohr magnetons per cell: 3.9
E_form, meV/atom: 92
Space-group type: F-43m

a b c (Å): 4.481 4.481 4.481
angles (deg): 60.00 60.00 60.00
Site moments in Bohr magnetons follow the coordinates.
Fractional positions:
Cr 0.500 0.500 0.500  1.04
Np 0.750 0.750 0.750  2.85
Tc 0.000 0.000 0.000  -0.09
Ge 0.250 0.250 0.250  -0.03

DFT (PBE) results for an optimized crystal structure of NpVCrGe.

Spin magnetization, Bohr magnetons per cell: 3.8
E_form, meV/atom: 118
Space-group type: F-43m

a b c (Å): 4.453 4.453 4.453
angles (deg): 60.00 60.00 60.00
Site moments in Bohr magnetons follow the coordinates.
Fractional positions:
Np 0.750 0.750 0.750  3.36
Ge 0.250 0.250 0.250  -0.03
V 0.000 0.000 0.000  1.32
Cr 0.500 0.500 0.500  -1.00

So what do the calculations give for theoretical density? Going down the list: 5.0; 12.0; 11.0 Mg/m³.